No. 1
CaSc4Sn4 PBE-GGA relaxed; DFT total energy = -94.358 eV/cell; DOS at the Fermi energy = 0.553 states/eV per atom; energy of formation from the pure elements = -0.427 eV/atom; total magnetic moment = 0.00 μB/atom
1.0
-2.246 0.658 5.307
-5.471 -7.794 -1.349
6.978 -5.528 3.640
Ca Sc Sn
2 8 8
direct
0.000 0.000 0.000
0.500 0.500 0.500
0.399 0.366 0.885
0.899 0.615 0.866
0.399 0.634 0.115
0.101 0.134 0.615
0.601 0.885 0.634
0.101 0.866 0.385
0.899 0.385 0.134
0.601 0.115 0.366
0.582 0.809 0.342
0.582 0.191 0.658
0.082 0.842 0.691
0.918 0.309 0.842
0.918 0.691 0.158
0.418 0.342 0.191
0.418 0.658 0.809
0.082 0.158 0.309


No. 2
Y3Si5 PBE-GGA relaxed; DFT total energy = -49.193 eV/cell; DOS at the Fermi energy = 0.494 states/eV per atom; ΔE_f (raw) = -0.336 eV per atom; total magnetic moment = 0.00 μB/atom
1.0
4.206 -4.510 0.000
4.206 4.510 0.000
0.000 0.000 4.186
Y Si
3 5
direct
0.500 0.500 0.000
0.784 0.216 0.500
0.216 0.784 0.500
0.000 0.000 0.000
0.000 0.500 0.000
0.500 0.000 0.000
0.262 0.262 0.500
0.738 0.738 0.500